# 1
Material: Ba12SrPd7
Method: DFT, GGA-PBE
State: optimized geometry

Properties
energy of formation = -0.41 eV per atom
symmetry = No. 148
crystal system = trigonal

a b c (Å): 10.2528 10.2528 10.2528
angles (deg): 107.36 107.36 107.36
Element x y z (fractional)
Ba  0.0502  0.1245  0.3438
Ba  0.1245  0.3438  0.0502
Ba  0.1912  0.5753  0.7214
Ba  0.2786  0.8088  0.4247
Ba  0.3438  0.0502  0.1245
Ba  0.4247  0.2786  0.8088
Ba  0.5753  0.7214  0.1912
Ba  0.6562  0.9498  0.8755
Ba  0.7214  0.1912  0.5753
Ba  0.8088  0.4247  0.2786
Ba  0.8755  0.6562  0.9498
Ba  0.9498  0.8755  0.6562
Sr  0.5000  0.5000  0.5000
Pd  0.0000  0.0000  0.0000
Pd  0.1529  0.4654  0.3837
Pd  0.3837  0.1529  0.4654
Pd  0.4654  0.3837  0.1529
Pd  0.5346  0.6163  0.8471
Pd  0.6163  0.8471  0.5346
Pd  0.8471  0.5346  0.6163

# 2
Material: AcNd7In2
Method: DFT, GGA-PBE
State: optimized geometry

Properties
energy of formation = 0.29 eV per atom
symmetry = No. 65
crystal system = orthorhombic

a b c (Å): 9.1610 9.1610 5.7385
angles (deg): 90.00 90.00 118.87
Element x y z (fractional)
Ac  0.0000  0.0000  0.0000
Nd  0.0560  0.3040  0.5000
Nd  0.2367  0.7633  0.0000
Nd  0.3040  0.0560  0.5000
Nd  0.5000  0.5000  0.5000
Nd  0.6960  0.9440  0.5000
Nd  0.7633  0.2367  0.0000
Nd  0.9440  0.6960  0.5000
In  0.3039  0.6961  0.5000
In  0.6961  0.3039  0.5000

# 3
Material: Nd3In3Ir2
Method: DFT, GGA-PBE
State: optimized geometry

Properties
energy of formation = -0.53 eV per atom
symmetry = No. 62
crystal system = orthorhombic

a b c (Å): 8.1250 16.7312 5.8818
angles (deg): 90.00 90.00 90.00
Element x y z (fractional)
Nd  0.0352  0.1097  0.0980
Nd  0.0352  0.3903  0.0980
Nd  0.1617  0.2500  0.6453
Nd  0.3383  0.7500  0.1453
Nd  0.4648  0.6097  0.5980
Nd  0.4648  0.8903  0.5980
Nd  0.5352  0.1097  0.4020
Nd  0.5352  0.3903  0.4020
Nd  0.6617  0.2500  0.8547
Nd  0.8383  0.7500  0.3547
Nd  0.9648  0.6097  0.9020
Nd  0.9648  0.8903  0.9020
In  0.1733  0.0331  0.5971
In  0.1733  0.4669  0.5971
In  0.1742  0.7500  0.6454
In  0.3258  0.2500  0.1454
In  0.3267  0.5331  0.0971
In  0.3267  0.9669  0.0971
In  0.6733  0.0331  0.9029
In  0.6733  0.4669  0.9029
In  0.6742  0.7500  0.8546
In  0.8258  0.2500  0.3546
In  0.8267  0.5331  0.4029
In  0.8267  0.9669  0.4029
Ir  0.1181  0.6169  0.3772
Ir  0.1181  0.8831  0.3772
Ir  0.3819  0.1169  0.8772
Ir  0.3819  0.3831  0.8772
Ir  0.6181  0.6169  0.1228
Ir  0.6181  0.8831  0.1228
Ir  0.8819  0.1169  0.6228
Ir  0.8819  0.3831  0.6228

# 4
Material: VCrCuBr
Method: DFT, GGA-PBE
State: optimized geometry

Properties
E above lowest polymorph = 149 meV/atom
ΔE_f (raw) = 411 meV per atom
symmetry = No. 6
crystal system = monoclinic

a b c (Å): 3.8692 3.1358 6.6107
angles (deg): 90.00 97.17 90.00
Element x y z (fractional)
V  0.0000  0.0000  0.0000
Cr  0.4917  0.5000  0.9267
Cu  0.9503  0.5000  0.6753
Br  0.8930  0.5000  0.2909

no.,calculated density (g/cm3)
1,4.635
2,5.773
3,9.650
4,5.141